A plane-wave DFT calculation with SCAN was carried out for TaTe4Ru at its PBEsol-relaxed geometry.

Calculated volume = 596.07 Å³/cell
Uncorrected formation energy = -0.366 eV per atom
DFT total energy = -42.10 eV/atom
Crystal system = orthorhombic

Cell and atoms, written as CIF:
```
data_TaTe4Ru
_chemical_formula_sum 'Ta4 Te16 Ru4'
_symmetry_space_group_name_H-M 'P m n 21'
_symmetry_Int_Tables_number 31
_symmetry_space_group_name_Hall 'P 2ac -2'
_cell_length_a 3.7038
_cell_length_b 12.3781
_cell_length_c 13.0014
_cell_angle_alpha 90.00
_cell_angle_beta 90.00
_cell_angle_gamma 90.00
loop_
_atom_site_label
_atom_site_fract_x
_atom_site_fract_y
_atom_site_fract_z
_atom_site_occupancy
Ta1 0.0000 0.0541 0.0000 1
Ta2 0.0000 0.2797 0.4840 1
Te1 0.0000 0.0710 0.3862 1
Te2 0.0000 0.1915 0.8400 1
Te3 0.0000 0.3429 0.0876 1
Te4 0.0000 0.4219 0.6390 1
Te5 0.0000 0.5712 0.3899 1
Te6 0.0000 0.6708 0.8357 1
Te7 0.0000 0.8447 0.1023 1
Te8 0.0000 0.8958 0.6481 1
Ru1 0.0000 0.5391 0.9975 1
Ru2 0.0000 0.7673 0.4818 1
```

---

A plane-wave DFT calculation with SCAN was carried out for Ta2TeRu at its PBEsol-relaxed geometry.

Calculated volume = 137.31 Å³/cell
Uncorrected formation energy = 0.098 eV per atom
DFT total energy = -51.21 eV/atom
Crystal system = orthorhombic

Cell and atoms, written as CIF:
```
data_Ta2TeRu
_chemical_formula_sum 'Ta4 Te2 Ru2'
_symmetry_space_group_name_H-M 'I m m 2'
_symmetry_Int_Tables_number 44
_symmetry_space_group_name_Hall 'I 2 -2'
_cell_length_a 3.3444
_cell_length_b 4.4514
_cell_length_c 9.2235
_cell_angle_alpha 90.00
_cell_angle_beta 90.00
_cell_angle_gamma 90.00
loop_
_atom_site_label
_atom_site_fract_x
_atom_site_fract_y
_atom_site_fract_z
_atom_site_occupancy
Ta1 0.0000 0.0000 0.0000 1
Ta2 0.0000 0.5000 0.2378 1
Te1 0.0000 0.0000 0.4752 1
Ru1 0.0000 0.5000 0.7429 1
```

---

A plane-wave DFT calculation with SCAN was carried out for TaTe2Ru at its PBEsol-relaxed geometry.

Calculated volume = 250.38 Å³/cell
Uncorrected formation energy = 0.552 eV per atom
DFT total energy = -43.43 eV/atom
Crystal system = trigonal

Cell and atoms, written as CIF:
```
data_TaTe2Ru
_chemical_formula_sum 'Ta3 Te6 Ru3'
_symmetry_space_group_name_H-M 'R -3 m'
_symmetry_Int_Tables_number 166
_symmetry_space_group_name_Hall '-R 3 2"'
_cell_length_a 3.2431
_cell_length_b 3.2431
_cell_length_c 27.4873
_cell_angle_alpha 90.00
_cell_angle_beta 90.00
_cell_angle_gamma 120.00
loop_
_atom_site_label
_atom_site_fract_x
_atom_site_fract_y
_atom_site_fract_z
_atom_site_occupancy
Ta1 0.0000 0.0000 0.0000 1
Te1 0.0000 0.0000 0.0985 1
Ru1 0.0000 0.0000 0.5000 1
```

---

A plane-wave DFT calculation with SCAN was carried out for TaTe2Ru at its PBEsol-relaxed geometry.

Calculated volume = 73.43 Å³/cell
Uncorrected formation energy = 0.278 eV per atom
DFT total energy = -43.70 eV/atom
Crystal system = tetragonal

Cell and atoms, written as CIF:
```
data_TaTe2Ru
_chemical_formula_sum 'Ta1 Te2 Ru1'
_symmetry_space_group_name_H-M 'P 4/m m m'
_symmetry_Int_Tables_number 123
_symmetry_space_group_name_Hall '-P 4 2'
_cell_length_a 3.3397
_cell_length_b 3.3397
_cell_length_c 6.5832
_cell_angle_alpha 90.00
_cell_angle_beta 90.00
_cell_angle_gamma 90.00
loop_
_atom_site_label
_atom_site_fract_x
_atom_site_fract_y
_atom_site_fract_z
_atom_site_occupancy
Ta1 0.0000 0.0000 0.0000 1
Te1 0.5000 0.5000 0.2509 1
Ru1 0.0000 0.0000 0.5000 1
```

---

A plane-wave DFT calculation with SCAN was carried out for TaTe2Ru at its PBEsol-relaxed geometry.

Calculated volume = 253.59 Å³/cell
Uncorrected formation energy = 0.470 eV per atom
DFT total energy = -43.51 eV/atom
Crystal system = trigonal

Cell and atoms, written as CIF:
```
data_TaTe2Ru
_chemical_formula_sum 'Ta3 Te6 Ru3'
_symmetry_space_group_name_H-M 'R -3 m'
_symmetry_Int_Tables_number 166
_symmetry_space_group_name_Hall '-R 3 2"'
_cell_length_a 3.2922
_cell_length_b 3.2922
_cell_length_c 27.0166
_cell_angle_alpha 90.00
_cell_angle_beta 90.00
_cell_angle_gamma 120.00
loop_
_atom_site_label
_atom_site_fract_x
_atom_site_fract_y
_atom_site_fract_z
_atom_site_occupancy
Ta1 0.0000 0.0000 0.0000 1
Te1 0.0000 0.0000 0.4078 1
Ru1 0.0000 0.0000 0.5000 1
```

---

A plane-wave DFT calculation with SCAN was carried out for TaZn2TeRu at its PBEsol-relaxed geometry.

Calculated volume = 113.74 Å³/cell
Uncorrected formation energy = 1.149 eV per atom
DFT total energy = -31.99 eV/atom
Crystal system = tetragonal

Cell and atoms, written as CIF:
```
data_TaZn2TeRu
_chemical_formula_sum 'Ta1 Zn2 Te1 Ru1'
_symmetry_space_group_name_H-M 'P 4/m m m'
_symmetry_Int_Tables_number 123
_symmetry_space_group_name_Hall '-P 4 2'
_cell_length_a 4.9713
_cell_length_b 4.9713
_cell_length_c 4.6023
_cell_angle_alpha 90.00
_cell_angle_beta 90.00
_cell_angle_gamma 90.00
loop_
_atom_site_label
_atom_site_fract_x
_atom_site_fract_y
_atom_site_fract_z
_atom_site_occupancy
Ta1 0.0000 0.0000 0.0000 1
Zn1 0.0000 0.5000 0.0000 1
Te1 0.5000 0.5000 0.5000 1
Ru1 0.0000 0.0000 0.5000 1
```

---

A plane-wave DFT calculation with SCAN was carried out for Ta2TlRu at its PBEsol-relaxed geometry.

Calculated volume = 140.02 Å³/cell
Formation energy from the elements = 0.249 eV per atom
DFT total energy = -59.84 eV/atom
Crystal system = orthorhombic

Cell and atoms, written as CIF:
```
data_Ta2TlRu
_chemical_formula_sum 'Ta4 Tl2 Ru2'
_symmetry_space_group_name_H-M 'I m m 2'
_symmetry_Int_Tables_number 44
_symmetry_space_group_name_Hall 'I 2 -2'
_cell_length_a 3.0966
_cell_length_b 4.7436
_cell_length_c 9.5322
_cell_angle_alpha 90.00
_cell_angle_beta 90.00
_cell_angle_gamma 90.00
loop_
_atom_site_label
_atom_site_fract_x
_atom_site_fract_y
_atom_site_fract_z
_atom_site_occupancy
Ta1 0.0000 0.0000 0.0000 1
Ta2 0.0000 0.5000 0.2490 1
Tl1 0.0000 0.5000 0.7773 1
Ru1 0.0000 0.0000 0.5268 1
```

---

A plane-wave DFT calculation with SCAN was carried out for TaTlRu2 at its PBEsol-relaxed geometry.

Calculated volume = 262.07 Å³/cell
Formation energy from the elements = 0.545 eV per atom
DFT total energy = -51.60 eV/atom
Crystal system = cubic

Cell and atoms, written as CIF:
```
data_TaTlRu2
_chemical_formula_sum 'Ta4 Tl4 Ru8'
_symmetry_space_group_name_H-M 'F -4 3 m'
_symmetry_Int_Tables_number 216
_symmetry_space_group_name_Hall 'F -4 2 3'
_cell_length_a 6.3994
_cell_length_b 6.3994
_cell_length_c 6.3994
_cell_angle_alpha 90.00
_cell_angle_beta 90.00
_cell_angle_gamma 90.00
loop_
_atom_site_label
_atom_site_fract_x
_atom_site_fract_y
_atom_site_fract_z
_atom_site_occupancy
Ta1 0.0000 0.0000 0.0000 1
Tl1 0.2500 0.2500 0.7500 1
Ru1 0.0000 0.0000 0.5000 1
Ru2 0.2500 0.2500 0.2500 1
```

---

A plane-wave DFT calculation with SCAN was carried out for Ta4TlRu at its PBEsol-relaxed geometry.

Calculated volume = 433.57 Å³/cell
Formation energy from the elements = 0.454 eV per atom
DFT total energy = -61.80 eV/atom
Crystal system = cubic

Cell and atoms, written as CIF:
```
data_Ta4TlRu
_chemical_formula_sum 'Ta16 Tl4 Ru4'
_symmetry_space_group_name_H-M 'F -4 3 m'
_symmetry_Int_Tables_number 216
_symmetry_space_group_name_Hall 'F -4 2 3'
_cell_length_a 7.5687
_cell_length_b 7.5687
_cell_length_c 7.5687
_cell_angle_alpha 90.00
_cell_angle_beta 90.00
_cell_angle_gamma 90.00
loop_
_atom_site_label
_atom_site_fract_x
_atom_site_fract_y
_atom_site_fract_z
_atom_site_occupancy
Ta1 0.1252 0.1252 0.1252 1
Tl1 0.0000 0.0000 0.5000 1
Ru1 0.2500 0.2500 0.7500 1
```

---

A plane-wave DFT calculation with SCAN was carried out for TaTlRu3 at its PBEsol-relaxed geometry.

Calculated volume = 102.46 Å³/cell
Formation energy from the elements = 1.429 eV per atom
DFT total energy = -47.26 eV/atom
Crystal system = cubic

Cell and atoms, written as CIF:
```
data_TaTlRu3
_chemical_formula_sum 'Ta1 Tl1 Ru3'
_symmetry_space_group_name_H-M 'P m -3 m'
_symmetry_Int_Tables_number 221
_symmetry_space_group_name_Hall '-P 4 2 3'
_cell_length_a 4.6794
_cell_length_b 4.6794
_cell_length_c 4.6794
_cell_angle_alpha 90.00
_cell_angle_beta 90.00
_cell_angle_gamma 90.00
loop_
_atom_site_label
_atom_site_fract_x
_atom_site_fract_y
_atom_site_fract_z
_atom_site_occupancy
Ta1 0.0000 0.0000 0.0000 1
Tl1 0.5000 0.5000 0.5000 1
Ru1 0.0000 0.0000 0.5000 1
```

---

A plane-wave DFT calculation with SCAN was carried out for Ta2TlRu at its PBEsol-relaxed geometry.

Calculated volume = 70.08 Å³/cell
Formation energy from the elements = 0.170 eV per atom
DFT total energy = -59.92 eV/atom
Crystal system = orthorhombic

Cell and atoms, written as CIF:
```
data_Ta2TlRu
_chemical_formula_sum 'Ta2 Tl1 Ru1'
_symmetry_space_group_name_H-M 'P m m 2'
_symmetry_Int_Tables_number 25
_symmetry_space_group_name_Hall 'P 2 -2'
_cell_length_a 3.1128
_cell_length_b 3.5914
_cell_length_c 6.2691
_cell_angle_alpha 90.00
_cell_angle_beta 90.00
_cell_angle_gamma 90.00
loop_
_atom_site_label
_atom_site_fract_x
_atom_site_fract_y
_atom_site_fract_z
_atom_site_occupancy
Ta1 0.0000 0.0000 0.0000 1
Ta2 0.5000 0.5000 0.2488 1
Tl1 0.0000 0.0000 0.5239 1
Ru1 0.5000 0.5000 0.7922 1
```

---

A plane-wave DFT calculation with SCAN was carried out for TaTlRu at its PBEsol-relaxed geometry.

Calculated volume = 240.96 Å³/cell
Formation energy from the elements = 1.196 eV per atom
DFT total energy = -56.73 eV/atom
Crystal system = cubic

Cell and atoms, written as CIF:
```
data_TaTlRu
_chemical_formula_sum 'Ta4 Tl4 Ru4'
_symmetry_space_group_name_H-M 'F -4 3 m'
_symmetry_Int_Tables_number 216
_symmetry_space_group_name_Hall 'F -4 2 3'
_cell_length_a 6.2228
_cell_length_b 6.2228
_cell_length_c 6.2228
_cell_angle_alpha 90.00
_cell_angle_beta 90.00
_cell_angle_gamma 90.00
loop_
_atom_site_label
_atom_site_fract_x
_atom_site_fract_y
_atom_site_fract_z
_atom_site_occupancy
Ta1 0.0000 0.0000 0.0000 1
Tl1 0.2500 0.2500 0.7500 1
Ru1 0.0000 0.0000 0.5000 1
```